A plane-wave DFT calculation with PBE was carried out for a geometry-optimized LaAlGePt2 structure.

It has space group P4/mmm (No. 123), with a = 4.746 Å, b = 4.746 Å, c = 5.542 Å, α = 90.00°, β = 90.00° and γ = 90.00°. The inequivalent atoms are La at (0.000, 0.000, 0.000), Al at (0.500, 0.500, 0.000), Ge at (0.000, 0.000, 0.500) and Pt at (0.000, 0.500, 0.500).

As for the total magnetization: 0.00 μB per formula unit. Its formation enthalpy at 0 K is 0.1216 eV/atom. Its total energy is -4.952 eV per atom.